Compound: CaLa5Pm2Pr
Source: Alexandria via LeMat-Bulk
Functional: PBE
Structure: optimized geometry

Calculated values
Its space group is I4/mcm, No. 140. Its total energy is -77.33 eV for the cell shown.

Cell lengths 10.0906, 10.0906, 10.0906 Å; angles 124.01, 124.01, 83.19 degrees
Closest atoms and distances in Å follow each position.
Sites, in units of the cell vectors:
Ca (0.2500, 0.7500, 0.5000)  4 La 3.32
Ca (0.7500, 0.2500, 0.5000)  4 La 3.32
La (0.0000, 0.0000, 0.0000)  2 Pr 3.77, 4 Pm 3.83, 8 La 3.91
La (0.0781, 0.5781, 0.9129)  1 Pm 3.11, 1 Ca 3.32
La (0.1652, 0.0781, 0.5000)  1 Pm 3.11, 1 Ca 3.32
La (0.3348, 0.8348, 0.9129)  1 Pm 3.11, 1 Ca 3.32
La (0.4219, 0.3348, 0.5000)  1 Pm 3.11, 1 Ca 3.32
La (0.5000, 0.5000, 0.0000)  2 Pr 3.77, 4 Pm 3.83, 8 La 3.91
La (0.5781, 0.6652, 0.5000)  1 Pm 3.11, 1 Ca 3.32
La (0.6652, 0.1652, 0.0871)  1 Pm 3.11, 1 Ca 3.32
La (0.8348, 0.9219, 0.5000)  1 Pm 3.11, 1 Ca 3.32
La (0.9219, 0.4219, 0.0871)  1 Pm 3.11, 1 Ca 3.32
Pm (0.1115, 0.3885, 0.5000)  1 Pm 2.99, 2 La 3.11
Pm (0.3885, 0.8885, 0.2770)  1 Pm 2.99, 2 La 3.11
Pm (0.6115, 0.1115, 0.7230)  1 Pm 2.99, 2 La 3.11
Pm (0.8885, 0.6115, 0.5000)  1 Pm 2.99, 2 La 3.11
Pr (0.2500, 0.2500, 0.0000)  10 La 3.77-3.86
Pr (0.7500, 0.7500, 0.0000)  10 La 3.77-3.86


Compound: CaLa2PmRu
Source: Alexandria via LeMat-Bulk
Functional: PBE
Structure: optimized geometry

Calculated values
Its space group is P4/mmm, No. 123. Its total energy is -26.61 eV for the cell shown.

Cell lengths 5.5935, 5.5935, 5.6835 Å; angles 90.00, 90.00, 90.00 degrees
Closest atoms and distances in Å follow each position.
Sites, in units of the cell vectors:
Ca (0.0000, 0.0000, 0.0000)  4 Pm 3.96, 8 La 3.99
La (0.0000, 0.5000, 0.5000)  2 Ru 2.80
La (0.5000, 0.0000, 0.5000)  2 Ru 2.80
Pm (0.5000, 0.5000, 0.0000)  2 Ru 2.84
Ru (0.5000, 0.5000, 0.5000)  4 La 2.80, 2 Pm 2.84


Compound: CaLaPm4S8
Source: Alexandria via LeMat-Bulk
Functional: PBE
Structure: optimized geometry

Calculated values
Its space group is R3m, No. 160. Its total energy is -86.86 eV for the cell shown.

Cell lengths 8.3670, 8.3670, 8.3670 Å; angles 59.42, 59.42, 59.42 degrees
Closest atoms and distances in Å follow each position.
Sites, in units of the cell vectors:
Ca (0.0000, 0.0000, 0.0000)  4 S 2.72-2.74
La (0.6271, 0.6271, 0.6271)  6 S 2.86-2.91
Pm (0.1200, 0.6273, 0.6273)  6 S 2.81-2.88
Pm (0.2510, 0.2510, 0.2510)  4 S 2.70-2.73
Pm (0.6273, 0.1200, 0.6273)  6 S 2.81-2.88
Pm (0.6273, 0.6273, 0.1200)  6 S 2.81-2.88
S (0.3805, 0.3805, 0.8525)  3 Pm 2.70-2.86, 1 La 2.91
S (0.3805, 0.8525, 0.3805)  3 Pm 2.70-2.86, 1 La 2.91
S (0.3835, 0.3835, 0.3835)  4 Pm 2.73-2.88
S (0.4012, 0.8697, 0.8697)  1 Ca 2.72, 2 Pm 2.81, 1 La 2.86
S (0.8525, 0.3805, 0.3805)  3 Pm 2.70-2.86, 1 La 2.91
S (0.8667, 0.8667, 0.8667)  1 Ca 2.74, 3 Pm 2.82
S (0.8697, 0.4012, 0.8697)  1 Ca 2.72, 2 Pm 2.81, 1 La 2.86
S (0.8697, 0.8697, 0.4012)  1 Ca 2.72, 2 Pm 2.81, 1 La 2.86


Compound: CaLa2PmSb4
Source: Alexandria via LeMat-Bulk
Functional: PBE
Structure: optimized geometry

Calculated values
Its space group is P2/m, No. 10. Its total energy is -41.94 eV for the cell shown.

Cell lengths 7.8526, 4.5911, 7.9757 Å; angles 90.00, 109.70, 90.00 degrees
Closest atoms and distances in Å follow each position.
Sites, in units of the cell vectors:
Ca (0.0000, 0.0000, 0.0000)  6 Sb 3.22-3.23
La (0.5000, 0.0000, 0.5000)  6 Sb 3.24-3.25
La (0.5000, 0.5000, 0.0000)  6 Sb 3.27
Pm (0.0000, 0.5000, 0.5000)  6 Sb 3.20
Sb (0.2443, 0.0000, 0.7461)  2 Pm 3.20, 1 Ca 3.22, 3 La 3.25-3.27
Sb (0.2461, 0.5000, 0.2510)  1 Pm 3.20, 2 Ca 3.23, 3 La 3.24-3.27
Sb (0.7539, 0.5000, 0.7490)  1 Pm 3.20, 2 Ca 3.23, 3 La 3.24-3.27
Sb (0.7557, 0.0000, 0.2539)  2 Pm 3.20, 1 Ca 3.22, 3 La 3.25-3.27


Compound: CaLaPm2Sb4
Source: Alexandria via LeMat-Bulk
Functional: PBE
Structure: optimized geometry

Calculated values
Its space group is Fmmm, No. 69. Its total energy is -41.58 eV for the cell shown.

Cell lengths 7.8670, 7.8612, 6.4130 Å; angles 65.98, 65.89, 48.13 degrees
Closest atoms and distances in Å follow each position.
Sites, in units of the cell vectors:
Ca (0.0000, 0.0000, 0.0000)  6 Sb 3.21-3.22
La (0.5000, 0.5000, 0.5000)  6 Sb 3.21
Pm (0.2500, 0.2500, 0.2500)  6 Sb 3.21
Pm (0.7500, 0.7500, 0.7500)  6 Sb 3.21
Sb (0.0000, 0.0000, 0.5000)  2 La 3.21, 2 Ca 3.21, 2 Pm 3.21
Sb (0.2502, 0.2502, 0.7498)  4 Pm 3.21, 1 La 3.21, 1 Ca 3.22
Sb (0.5000, 0.5000, 0.0000)  2 La 3.21, 2 Ca 3.21, 2 Pm 3.21
Sb (0.7498, 0.7498, 0.2502)  4 Pm 3.21, 1 La 3.21, 1 Ca 3.22


Compound: CaLaPm4Se8
Source: Alexandria via LeMat-Bulk
Functional: PBE
Structure: optimized geometry

Calculated values
Its space group is R3m, No. 160. Its total energy is -79.33 eV for the cell shown.

Cell lengths 8.7280, 8.7280, 8.7280 Å; angles 59.39, 59.39, 59.39 degrees
Closest atoms and distances in Å follow each position.
Sites, in units of the cell vectors:
Ca (0.0000, 0.0000, 0.0000)  4 Se 2.83-2.85
La (0.3724, 0.3724, 0.3724)  6 Se 2.99-3.04
Pm (0.3722, 0.3722, 0.8802)  6 Se 2.93-3.00
Pm (0.3722, 0.8802, 0.3722)  6 Se 2.93-3.00
Pm (0.7484, 0.7484, 0.7484)  4 Se 2.82-2.84
Pm (0.8802, 0.3722, 0.3722)  6 Se 2.93-3.00
Se (0.1294, 0.1294, 0.5999)  1 Ca 2.83, 2 Pm 2.93, 1 La 2.99
Se (0.1294, 0.5999, 0.1294)  1 Ca 2.83, 2 Pm 2.93, 1 La 2.99
Se (0.1326, 0.1326, 0.1326)  1 Ca 2.85, 3 Pm 2.94
Se (0.1469, 0.6193, 0.6193)  3 Pm 2.82-2.99, 1 La 3.04
Se (0.5999, 0.1294, 0.1294)  1 Ca 2.83, 2 Pm 2.93, 1 La 2.99
Se (0.6162, 0.6162, 0.6162)  4 Pm 2.84-3.00
Se (0.6193, 0.1469, 0.6193)  3 Pm 2.82-2.99, 1 La 3.04
Se (0.6193, 0.6193, 0.1469)  3 Pm 2.82-2.99, 1 La 3.04